Computed, not measured: a relaxed structure of SrHPt2 at the PBE level of DFT.

a b c (Å): 5.8088 5.8088 5.8089
angles (deg): 60.00 60.00 90.00
Closest atoms and distances in Å follow each position.
Fractional positions:
1 Sr 0.0000 0.0000 0.0000  12 Pt 3.41, 4 Sr 3.56, 4 H 3.56
2 Sr 0.7500 0.2500 0.5000  12 Pt 3.41, 4 Sr 3.56, 4 H 3.56
3 Pt 0.3749 0.1250 0.2500  2 H 1.78
4 Pt 0.3751 0.6250 0.2500  2 H 1.78
5 Pt 0.3750 0.6251 0.7500  2 H 1.78
6 Pt 0.8750 0.6249 0.7500  2 H 1.78
7 H 0.5000 0.5000 0.0000  4 Pt 1.78
8 H 0.2500 0.7500 0.5000  4 Pt 1.78

## Properties
The energy relative to the lowest polymorph listed for this composition is 0.0000 eV per atom. The density of states at the Fermi level is 0.556 states/eV/cell. Its uncorrected energy is -38.7 eV for the cell shown. The value obtained for the volume is 69 Å³/f.u. For the total magnetization, the calculation gives 0.00 Bohr magnetons per cell.